A relaxed structure of K2HoWO6, computed with PBE with a Hubbard U.

a = 6.1668 Å, b = 6.1668 Å, c = 30.3136 Å
α = 90.00°, β = 90.00°, γ = 120.00°
Space group R-3m (No. 166, hexagonal axes)
Inequivalent atoms, fractional coordinates:
1 K 0.0000 0.0000 0.1352 [6 per cell]
2 K 0.0000 0.0000 0.2689 [6 per cell]
3 Ho 0.0000 0.0000 0.4009 [6 per cell]
4 W 0.0000 0.0000 0.0000 [3 per cell]
5 W 0.0000 0.0000 0.5000 [3 per cell]
6 O 0.0344 0.5172 0.7036 [18 per cell]
7 O 0.0459 0.5230 0.1269 [18 per cell]

DOS(E_F), states/eV per cell: 35.23
VASP energy, eV/atom: -6.580